A geometry-optimized Cd2TeCl structure. Source: the Alexandria database, functional PBE-GGA.

Calculated values
* uncorrected formation energy: -0.2160 eV/atom
* magnetic moment: 0.000 Bohr magnetons per cell
* electronic total energy: -0.141 Ry/atom
* excess energy over the best structure of this formula in the dataset: 250.8 meV per atom

```
data_Cd2TeCl
_space_group_name_H-M_alt 'P 4 m m'
_space_group_IT_number 99
_cell_length_a 3.297
_cell_length_b 3.297
_cell_length_c 9.752
_cell_angle_alpha 90.00
_cell_angle_beta 90.00
_cell_angle_gamma 90.00
loop_
_space_group_symop_operation_xyz
'x,y,z'
'-y,x,z'
'-x,-y,z'
'y,-x,z'
'-x,y,z'
'y,x,z'
'x,-y,z'
'-y,-x,z'
loop_
_atom_site_label
_atom_site_type_symbol
_atom_site_fract_x
_atom_site_fract_y
_atom_site_fract_z
_atom_site_occupancy
Cd1 Cd 0.000 0.000 0.000 1
Cd2 Cd 0.500 0.500 0.221 1
Te1 Te 0.500 0.500 0.747 1
Cl1 Cl 0.000 0.000 0.385 1
```

A geometry-optimized HfPbO3 structure. Source: the Alexandria database, functional PBE-GGA.

Calculated values
* uncorrected formation energy: -1.8481 eV/atom
* magnetic moment: 0.000 Bohr magnetons per cell
* electronic total energy: -0.555 Ry/atom

```
data_HfPbO3
_space_group_name_H-M_alt 'P 63/m m c'
_space_group_IT_number 194
_space_group_name_Hall '-P 6c 2c'
_cell_length_a 3.7084
_cell_length_b 3.7084
_cell_length_c 13.6191
_cell_angle_alpha 90.00
_cell_angle_beta 90.00
_cell_angle_gamma 120.00
loop_
_atom_site_label
_atom_site_type_symbol
_atom_site_fract_x
_atom_site_fract_y
_atom_site_fract_z
_atom_site_occupancy
Hf1 Hf 0.0000 0.0000 0.0000 1
Pb1 Pb 0.3333 0.6667 0.2500 1
O1 O 0.0000 0.0000 0.2500 1
O2 O 0.3333 0.6667 0.0525 1
```

A geometry-optimized Rb3Tb3RhO8 structure. Source: the Alexandria database, functional PBE-GGA.

Calculated values
* uncorrected formation energy: -2.2773 eV/atom
* magnetic moment: 3.193 Bohr magnetons per cell
* electronic total energy: -0.480 Ry/atom

```
data_Rb3Tb3RhO8
_space_group_name_H-M_alt 'R -3 m'
_space_group_IT_number 166
_space_group_name_Hall '-R 3 2"'
_cell_length_a 6.8363
_cell_length_b 6.8363
_cell_length_c 19.7645
_cell_angle_alpha 90.00
_cell_angle_beta 90.00
_cell_angle_gamma 120.00
loop_
_atom_site_label
_atom_site_type_symbol
_atom_site_fract_x
_atom_site_fract_y
_atom_site_fract_z
_atom_site_occupancy
Rb1 Rb 0.0000 0.5000 0.0000 1
Tb1 Tb 0.0000 0.5000 0.5000 1
Rh1 Rh 0.0000 0.0000 0.5000 1
O1 O 0.0000 0.0000 0.2244 1
O2 O 0.0264 0.5132 0.2219 1
```

A geometry-optimized Li3Cu5 structure. Source: the Alexandria database, functional PBE-GGA.

Calculated values
* ΔH_f (0 K): -18.3 kJ/mol of formula units
* magnetic moment: 0.000 Bohr magnetons per cell
* electronic total energy: -0.243 Ry/atom
* excess energy over the best structure of this formula in the dataset: 4.1 meV per atom

```
data_Li3Cu5
_space_group_name_H-M_alt 'C m m m'
_space_group_IT_number 65
_space_group_name_Hall '-C 2 2'
_cell_length_a 7.145
_cell_length_b 7.582
_cell_length_c 3.666
_cell_angle_alpha 90.00
_cell_angle_beta 90.00
_cell_angle_gamma 90.00
loop_
_atom_site_label
_atom_site_type_symbol
_atom_site_fract_x
_atom_site_fract_y
_atom_site_fract_z
_atom_site_occupancy
Li1 Li 0.000 0.000 0.000 1
Li2 Li 0.250 0.000 0.500 1
Cu1 Cu 0.000 0.260 0.500 1
Cu2 Cu 0.000 0.500 0.000 1
Cu3 Cu 0.250 0.250 0.000 1
```

A geometry-optimized CrIr structure. Source: the Alexandria database, functional PBE-GGA.

Calculated values
* ΔH_f (0 K): 34.0 kJ/mol of formula units
* magnetic moment: 1.633 Bohr magnetons per cell
* electronic total energy: -0.666 Ry/atom

```
data_CrIr
_space_group_name_H-M_alt 'P 63/m m c'
_space_group_IT_number 194
_space_group_name_Hall '-P 6c 2c'
_cell_length_a 4.0429
_cell_length_b 4.0429
_cell_length_c 7.9111
_cell_angle_alpha 90.00
_cell_angle_beta 90.00
_cell_angle_gamma 120.00
loop_
_atom_site_label
_atom_site_type_symbol
_atom_site_fract_x
_atom_site_fract_y
_atom_site_fract_z
_atom_site_occupancy
Cr1 Cr 0.0000 0.0000 0.2500 1
Cr2 Cr 0.3333 0.6667 0.2500 1
Ir1 Ir 0.3333 0.6667 0.5850 1
```

A geometry-optimized CoTc2Br structure. Source: the Alexandria database, functional PBE-GGA.

Calculated values
* uncorrected formation energy: 0.9390 eV/atom
* magnetic moment: 1.476 Bohr magnetons per cell
* electronic total energy: -0.473 Ry/atom
* excess energy over the best structure of this formula in the dataset: 484.7 meV per atom

```
data_CoTc2Br
_space_group_name_H-M_alt 'P m m m'
_space_group_IT_number 47
_cell_length_a 2.895
_cell_length_b 4.494
_cell_length_c 4.583
_cell_angle_alpha 90.00
_cell_angle_beta 90.00
_cell_angle_gamma 90.00
loop_
_space_group_symop_operation_xyz
'x,y,z'
'-x,-y,-z'
'-x,-y,z'
'x,y,-z'
'x,-y,-z'
'-x,y,z'
'-x,y,-z'
'x,-y,z'
loop_
_atom_site_label
_atom_site_type_symbol
_atom_site_fract_x
_atom_site_fract_y
_atom_site_fract_z
_atom_site_occupancy
Co1 Co 0.000 0.000 0.000 1
Tc1 Tc 0.000 0.500 0.500 1
Tc2 Tc 0.500 0.000 0.500 1
Br1 Br 0.500 0.500 0.000 1
```

A geometry-optimized FeAsP2S structure. Source: the Alexandria database, functional PBE-GGA.

Calculated values
* uncorrected formation energy: 0.5346 eV/atom
* magnetic moment: 0.000 Bohr magnetons per cell
* electronic total energy: -0.373 Ry/atom
* excess energy over the best structure of this formula in the dataset: 0.0 meV per atom

```
data_FeAsP2S
_space_group_name_H-M_alt 'P 4/m m m'
_space_group_IT_number 123
_space_group_name_Hall '-P 4 2'
_cell_length_a 4.185
_cell_length_b 4.185
_cell_length_c 4.941
_cell_angle_alpha 90.00
_cell_angle_beta 90.00
_cell_angle_gamma 90.00
loop_
_atom_site_label
_atom_site_type_symbol
_atom_site_fract_x
_atom_site_fract_y
_atom_site_fract_z
_atom_site_occupancy
Fe1 Fe 0.000 0.000 0.000 1
As1 As 0.500 0.500 0.500 1
P1 P 0.000 0.500 0.000 1
S1 S 0.000 0.000 0.500 1
```

A geometry-optimized Tl2ZnSi structure. Source: the Alexandria database, functional PBE-GGA.

Calculated values
* uncorrected formation energy: 0.4329 eV/atom
* magnetic moment: 0.000 Bohr magnetons per cell
* electronic total energy: -0.178 Ry/atom
* excess energy over the best structure of this formula in the dataset: 273.6 meV per atom

```
data_Tl2ZnSi
_space_group_name_H-M_alt 'I -4 m 2'
_space_group_IT_number 119
_space_group_name_Hall 'I -4 -2'
_cell_length_a 4.225
_cell_length_b 4.225
_cell_length_c 10.494
_cell_angle_alpha 90.00
_cell_angle_beta 90.00
_cell_angle_gamma 90.00
loop_
_atom_site_label
_atom_site_type_symbol
_atom_site_fract_x
_atom_site_fract_y
_atom_site_fract_z
_atom_site_occupancy
Tl1 Tl 0.000 0.000 0.000 1
Tl2 Tl 0.000 0.500 0.250 1
Zn1 Zn 0.000 0.500 0.750 1
Si1 Si 0.000 0.000 0.500 1
```

A geometry-optimized Li3AsPd5 structure. Source: the Alexandria database, functional PBE-GGA.

Calculated values
* ΔH_f (0 K): -271.8 kJ/mol of formula units
* magnetic moment: 0.000 Bohr magnetons per cell
* electronic total energy: -0.320 Ry/atom

```
data_Li3AsPd5
_space_group_name_H-M_alt 'I 4/m c m'
_space_group_IT_number 140
_space_group_name_Hall '-I 4 2c'
_cell_length_a 6.748
_cell_length_b 6.748
_cell_length_c 11.643
_cell_angle_alpha 90.00
_cell_angle_beta 90.00
_cell_angle_gamma 90.00
loop_
_atom_site_label
_atom_site_type_symbol
_atom_site_fract_x
_atom_site_fract_y
_atom_site_fract_z
_atom_site_occupancy
Li1 Li 0.000 0.000 0.250 1
Li2 Li 0.109 0.391 0.000 1
As1 As 0.000 0.500 0.250 1
Pd1 Pd 0.000 0.000 0.000 1
Pd2 Pd 0.204 0.296 0.368 1
```

A geometry-optimized KAuSeBr2 structure. Source: the Alexandria database, functional PBE-GGA.

Calculated values
* uncorrected formation energy: -0.4749 eV/atom
* magnetic moment: 0.934 Bohr magnetons per cell
* electronic total energy: -0.200 Ry/atom
* excess energy over the best structure of this formula in the dataset: 0.0 meV per atom

```
data_KAuSeBr2
_space_group_name_H-M_alt 'P 4/m m m'
_space_group_IT_number 123
_space_group_name_Hall '-P 4 2'
_cell_length_a 5.509
_cell_length_b 5.509
_cell_length_c 5.124
_cell_angle_alpha 90.00
_cell_angle_beta 90.00
_cell_angle_gamma 90.00
loop_
_atom_site_label
_atom_site_type_symbol
_atom_site_fract_x
_atom_site_fract_y
_atom_site_fract_z
_atom_site_occupancy
K1 K 0.000 0.000 0.000 1
Au1 Au 0.500 0.500 0.500 1
Se1 Se 0.500 0.500 0.000 1
Br1 Br 0.000 0.500 0.500 1
```

A geometry-optimized K2YCd2Se4 structure. Source: the Alexandria database, functional PBE-GGA.

Calculated values
* uncorrected formation energy: -1.0956 eV/atom
* magnetic moment: 0.000 Bohr magnetons per cell
* electronic total energy: -0.280 Ry/atom

```
data_K2YCd2Se4
_space_group_name_H-M_alt 'C 1 2/m 1'
_space_group_IT_number 12
_cell_length_a 16.658
_cell_length_b 4.185
_cell_length_c 8.345
_cell_angle_alpha 90.00
_cell_angle_beta 114.27
_cell_angle_gamma 90.00
loop_
_space_group_symop_operation_xyz
'x,y,z'
'-x,-y,-z'
'-x,y,-z'
'x,-y,z'
'x+1/2,y+1/2,z'
'-x+1/2,-y+1/2,-z'
'-x+1/2,y+1/2,-z'
'x+1/2,-y+1/2,z'
loop_
_atom_site_label
_atom_site_type_symbol
_atom_site_fract_x
_atom_site_fract_y
_atom_site_fract_z
_atom_site_occupancy
K1 K 0.126 0.000 0.061 1
Y1 Y 0.000 0.000 0.500 1
Cd1 Cd 0.188 0.500 0.518 1
Se1 Se 0.020 0.500 0.274 1
Se2 Se 0.188 0.000 0.729 1
```

A geometry-optimized SrLiHg4 structure. Source: the Alexandria database, functional PBE-GGA.

Calculated values
* ΔH_f (0 K): -201.6 kJ/mol of formula units
* magnetic moment: 0.000 Bohr magnetons per cell
* electronic total energy: -0.084 Ry/atom
* excess energy over the best structure of this formula in the dataset: 0.0 meV per atom

```
data_SrLiHg4
_space_group_name_H-M_alt 'P -1'
_space_group_IT_number 2
_cell_length_a 8.413
_cell_length_b 9.586
_cell_length_c 9.600
_cell_angle_alpha 118.93
_cell_angle_beta 97.30
_cell_angle_gamma 105.87
loop_
_space_group_symop_operation_xyz
'x,y,z'
'-x,-y,-z'
loop_
_atom_site_label
_atom_site_type_symbol
_atom_site_fract_x
_atom_site_fract_y
_atom_site_fract_z
_atom_site_occupancy
Sr1 Sr 0.160 0.355 0.059 1
Sr2 Sr 0.298 0.160 0.548 1
Li1 Li 0.211 0.698 0.775 1
Li2 Li 0.446 0.077 0.904 1
Hg1 Hg 0.021 0.348 0.703 1
Hg2 Hg 0.080 0.966 0.739 1
Hg3 Hg 0.141 0.416 0.429 1
Hg4 Hg 0.210 0.992 0.075 1
Hg5 Hg 0.304 0.790 0.214 1
Hg6 Hg 0.337 0.822 0.559 1
Hg7 Hg 0.405 0.562 0.914 1
Hg8 Hg 0.476 0.350 0.323 1
```